A relaxed MgPaTeO6 crystal. Source: Alexandria, functional PBE.

abc: 5.305 5.305 9.702
angles: 90.00 90.00 120.00
Element x y z (fractional)
Mg  0.333  0.667  0.250
Mg  0.667  0.333  0.750
Pa  0.000  0.000  0.000
Pa  0.000  0.000  0.500
Te  0.333  0.667  0.750
Te  0.667  0.333  0.250
O  0.008  0.344  0.632
O  0.008  0.664  0.868
O  0.336  0.344  0.868
O  0.336  0.992  0.632
O  0.344  0.008  0.132
O  0.344  0.336  0.368
O  0.656  0.664  0.632
O  0.656  0.992  0.868
O  0.664  0.008  0.368
O  0.664  0.656  0.132
O  0.992  0.336  0.132
O  0.992  0.656  0.368

## Properties
- Calculated density: 6.7 g/cm3
- Calculated total energy: -7.21 eV per atom
- ΔE_f (raw): -2324 meV/atom